Material: MgRh2W
Method: DFT, PBE
State: optimized geometry

## Properties
Space group = Cm, No. 8
V = 61.07 Å³/f.u.
Raw total energy = -0.5519 Ry per atom

Cell: 4.918 4.918 4.682 Å, 79.94 79.94 33.26°
Positions (direct):
Rh 0.993 0.993 0.957
Rh 0.255 0.255 0.291
Mg 0.741 0.741 0.798
W 0.511 0.511 0.453

---

Material: MgRhW2
Method: DFT, PBE
State: optimized geometry

## Properties
Space group = P2/m, No. 10
V = 62.92 Å³/f.u.
Raw total energy = -0.6287 Ry per atom

Cell: 4.509 2.752 5.254 Å, 74.80 90.00 90.00°
Positions (direct):
W 0.000 0.990 0.002
Rh 0.500 0.750 0.750
W 0.000 0.510 0.498
Mg 0.500 0.250 0.250

---

Material: MgRh2W
Method: DFT, PBE
State: optimized geometry

## Properties
Space group = P4/mmm, No. 123
V = 60.45 Å³/f.u.
Raw total energy = -0.5631 Ry per atom

Cell: 2.880 2.880 7.288 Å, 90.00 90.00 90.00°
Positions (direct):
W 0.500 0.500 0.250
Mg 0.500 0.500 0.750
Rh 0.000 0.000 0.004
Rh 0.000 0.000 0.496

---

Material: MgRh2W
Method: DFT, PBE
State: optimized geometry

## Properties
Space group = C2/m, No. 12
V = 61.57 Å³/f.u.
Raw total energy = -0.5397 Ry per atom

Cell: 4.531 4.531 5.153 Å, 83.79 83.79 35.87°
Positions (direct):
Rh 0.499 0.499 0.494
W 0.250 0.250 0.250
Rh 0.001 0.001 0.006
Mg 0.750 0.750 0.750